(1)
## NbTlGa2C (PBE)

Data for crystalline NbTlGa2C at its relaxed geometry.

Cell lengths 4.4166, 4.3787, 4.4166 Å; angles 90.00, 90.00, 90.00 degrees
Closest atoms and distances in Å follow each position.
Fractional coordinates of all 5 atoms:
Ga  0.5000  0.0000  0.0000  2 C 2.21
Ga  0.0000  0.0000  0.5000  2 C 2.21
C  0.0000  0.0000  0.0000  2 Nb 2.19, 4 Ga 2.21
Nb  0.0000  0.5000  0.0000  2 C 2.19
Tl  0.5000  0.5000  0.5000  8 Ga 3.11, 4 Nb 3.12

Calculated total energy, eV/atom: -4.9723
Calculated volume, Å³ per atom: 17.08
Fermi-level density of states, states/eV per cell: 3.442


(2)
## NbV2GaC (PBE)

Data for crystalline NbV2GaC at its relaxed geometry.

Cell lengths 3.9538, 3.9538, 4.3849 Å; angles 90.00, 90.00, 90.00 degrees
Closest atoms and distances in Å follow each position.
Fractional coordinates of all 5 atoms:
C  0.0000  0.0000  0.0000  4 V 1.98, 2 Nb 2.19
V  0.0000  0.5000  0.0000  2 C 1.98
V  0.5000  0.0000  0.0000  2 C 1.98
Ga  0.5000  0.5000  0.5000  4 Nb 2.80, 8 V 2.95
Nb  0.0000  0.0000  0.5000  2 C 2.19

Calculated total energy, eV/atom: -8.3599
Calculated volume, Å³ per atom: 13.71
Fermi-level density of states, states/eV per cell: 5.427


(3)
## YNb2GaC (PBE)

Data for crystalline YNb2GaC at its relaxed geometry.

Cell lengths 5.1110, 4.2156, 5.1110 Å; angles 90.00, 90.00, 90.00 degrees
Closest atoms and distances in Å follow each position.
Fractional coordinates of all 5 atoms:
Ga  0.5000  0.5000  0.5000  8 Nb 3.31, 4 C 3.61
Nb  0.5000  0.0000  0.0000  2 Y 2.56
Nb  0.0000  0.0000  0.5000  2 Y 2.56
Y  0.0000  0.0000  0.0000  2 C 2.11
C  0.0000  0.5000  0.0000  2 Y 2.11

Calculated total energy, eV/atom: -5.5258
Calculated volume, Å³ per atom: 22.02
Fermi-level density of states, states/eV per cell: 7.291


(4)
## Y2NbGaC (PBE)

Data for crystalline Y2NbGaC at its relaxed geometry.

Cell lengths 5.3040, 4.7864, 5.3040 Å; angles 90.00, 90.00, 90.00 degrees
Closest atoms and distances in Å follow each position.
Fractional coordinates of all 5 atoms:
C  0.5000  0.5000  0.5000  8 Y 3.57, 4 Nb 3.75
Y  0.0000  0.0000  0.5000  2 Ga 2.65
Y  0.5000  0.0000  0.0000  2 Ga 2.65
Nb  0.0000  0.5000  0.0000  2 Ga 2.39
Ga  0.0000  0.0000  0.0000  2 Nb 2.39, 4 Y 2.65

Calculated total energy, eV/atom: -5.5478
Calculated volume, Å³ per atom: 26.93
Fermi-level density of states, states/eV per cell: 2.744


(5)
## ZrNb2GaC (PBE)

Data for crystalline ZrNb2GaC at its relaxed geometry.

Cell lengths 4.9320, 5.0735, 4.9320 Å; angles 90.00, 90.00, 90.00 degrees
Closest atoms and distances in Å follow each position.
Fractional coordinates of all 5 atoms:
Nb  0.0000  0.0000  0.5000  2 Zr 2.47
Nb  0.5000  0.0000  0.0000  2 Zr 2.47
Ga  0.0000  0.5000  0.0000  2 Zr 2.54
Zr  0.0000  0.0000  0.0000  4 Nb 2.47, 2 Ga 2.54
C  0.5000  0.5000  0.5000  4 Ga 3.49, 8 Nb 3.54

Calculated total energy, eV/atom: -5.5554
Calculated volume, Å³ per atom: 24.68
Fermi-level density of states, states/eV per cell: 6.576


(6)
## Nd4Ga2C (PBE)

Data for crystalline Nd4Ga2C at its relaxed geometry.

Cell lengths 3.7523, 7.9270, 12.8874 Å; angles 90.00, 90.00, 90.00 degrees
Closest atoms and distances in Å follow each position.
Fractional coordinates of all 14 atoms:
Nd  0.5000  0.7133  0.0488  2 C 2.60
Nd  0.5000  0.2133  0.4512  2 C 2.60
Nd  0.5000  0.2867  0.9512  2 C 2.60
Nd  0.0000  0.8819  0.3129  1 C 2.59
Nd  0.0000  0.1181  0.6871  1 C 2.59
Nd  0.0000  0.6181  0.8129  1 C 2.59
Nd  0.5000  0.7867  0.5488  2 C 2.60
Nd  0.0000  0.3819  0.1871  1 C 2.59
Ga  0.5000  0.0789  0.1667  6 Nd 3.06-3.27
Ga  0.5000  0.5789  0.3333  6 Nd 3.06-3.27
Ga  0.5000  0.4211  0.6667  6 Nd 3.06-3.27
Ga  0.5000  0.9211  0.8333  6 Nd 3.06-3.27
C  0.0000  0.0000  0.5000  6 Nd 2.59-2.60
C  0.0000  0.5000  0.0000  6 Nd 2.59-2.60

Calculated volume, Å³ per atom: 27.38
Fermi-level density of states, states/eV per cell: 13.858
Energy above the lowest structure with this stoichiometry, meV per atom: 74


(7)
## Nd3GaC (PBE)

Data for crystalline Nd3GaC at its relaxed geometry.

Cell lengths 5.0704, 5.0704, 5.0704 Å; angles 90.00, 90.00, 90.00 degrees
Closest atoms and distances in Å follow each position.
Fractional coordinates of all 5 atoms:
Nd  0.0000  0.0000  0.5000  2 C 2.54
Nd  0.5000  0.0000  0.0000  2 C 2.54
Nd  0.0000  0.5000  0.0000  2 C 2.54
Ga  0.5000  0.5000  0.5000  12 Nd 3.59
C  0.0000  0.0000  0.0000  6 Nd 2.54

Calculated volume, Å³ per atom: 26.07
Fermi-level density of states, states/eV per cell: 2.113
Energy above the lowest structure with this stoichiometry, meV per atom: 43


(8)
## Nd6Ga3C (PBE)

Data for crystalline Nd6Ga3C at its relaxed geometry.

Cell lengths 6.4807, 8.2198, 10.3578 Å; angles 90.00, 85.77, 90.00 degrees
Closest atoms and distances in Å follow each position.
Fractional coordinates of all 20 atoms:
Ga  0.0000  0.0000  0.5000  6 Nd 3.03-3.11
Ga  0.9187  0.3863  0.7618  6 Nd 3.08-3.29
Ga  0.5000  0.5000  0.0000  6 Nd 3.03-3.11
Ga  0.4187  0.1137  0.2618  6 Nd 3.08-3.29
Ga  0.0813  0.6137  0.2382  6 Nd 3.08-3.29
Ga  0.5813  0.8863  0.7382  6 Nd 3.08-3.29
Nd  0.3339  0.8492  0.0578  1 C 2.60
Nd  0.8834  0.7082  0.9378  1 C 2.61
Nd  0.8339  0.6508  0.5578  1 C 2.60
Nd  0.3834  0.7918  0.4378  1 C 2.61
Nd  0.6166  0.2082  0.5622  1 C 2.61
Nd  0.1166  0.2918  0.0622  1 C 2.61
Nd  0.6661  0.1508  0.9422  1 C 2.60
Nd  0.8610  0.9511  0.2300  1 C 2.52
Nd  0.3610  0.5489  0.7300  1 C 2.52
Nd  0.6390  0.4511  0.2700  1 C 2.52
Nd  0.1390  0.0489  0.7700  1 C 2.52
Nd  0.1661  0.3492  0.4422  1 C 2.60
C  0.0000  0.0000  0.0000  6 Nd 2.52-2.61
C  0.5000  0.5000  0.5000  6 Nd 2.52-2.61

Calculated total energy, eV/atom: -5.0064
Calculated volume, Å³ per atom: 27.51
Fermi-level density of states, states/eV per cell: 19.760


(9)
## Nd4Ga2C (PBE)

Data for crystalline Nd4Ga2C at its relaxed geometry.

Cell lengths 5.1390, 5.1390, 8.1410 Å; angles 108.40, 108.40, 90.00 degrees
Closest atoms and distances in Å follow each position.
Fractional coordinates of all 7 atoms:
C  0.0000  0.0000  0.0000  6 Nd 2.54-2.57
Nd  0.0000  0.5000  0.0000  2 C 2.57
Nd  0.5000  0.0000  0.0000  2 C 2.57
Nd  0.8256  0.8256  0.6512  1 C 2.54
Nd  0.1744  0.1744  0.3488  1 C 2.54
Ga  0.3796  0.3796  0.7591  5 Nd 2.99-3.11
Ga  0.6204  0.6204  0.2409  5 Nd 2.99-3.11

Calculated volume, Å³ per atom: 27.48
Fermi-level density of states, states/eV per cell: 0.762
Energy above the lowest structure with this stoichiometry, meV per atom: 0


(10)
## Nd3GaC (PBE)

Data for crystalline Nd3GaC at its relaxed geometry.

Cell lengths 3.7866, 7.8404, 8.8413 Å; angles 86.42, 89.98, 76.06 degrees
Closest atoms and distances in Å follow each position.
Fractional coordinates of all 10 atoms:
C  0.2378  0.8809  0.4585  6 Nd 2.53-2.60
C  0.8451  0.6649  0.1551  6 Nd 2.53-2.60
Nd  0.6927  0.9715  0.2698  3 C 2.59-2.60
Nd  0.7952  0.7657  0.6341  2 C 2.57
Nd  0.2877  0.7801  0.9796  2 C 2.57
Nd  0.3902  0.5742  0.3438  3 C 2.59-2.60
Nd  0.0914  0.1742  0.5772  1 C 2.53
Nd  0.9914  0.3716  0.0364  1 C 2.53
Ga  0.6276  0.1003  0.8669  1 Ga 2.77
Ga  0.4553  0.4455  0.7468  1 Ga 2.77

Calculated volume, Å³ per atom: 25.42
Fermi-level density of states, states/eV per cell: 7.595
Energy above the lowest structure with this stoichiometry, meV per atom: 21


(11)
## Nd3GaC (PBE)

Data for crystalline Nd3GaC at its relaxed geometry.

Cell lengths 5.4878, 5.4878, 5.4878 Å; angles 90.00, 90.00, 90.00 degrees
Closest atoms and distances in Å follow each position.
Fractional coordinates of all 5 atoms:
Ga  0.5000  0.5000  0.5000  6 Nd 2.74
Nd  0.5000  0.0000  0.5000  2 Ga 2.74
Nd  0.5000  0.5000  0.0000  2 Ga 2.74
Nd  0.0000  0.5000  0.5000  2 Ga 2.74
C  0.0000  0.0000  0.0000  12 Nd 3.88

Calculated volume, Å³ per atom: 33.05
Fermi-level density of states, states/eV per cell: 1.984
Energy above the lowest structure with this stoichiometry, meV per atom: 1497


(12)
## Nd4GaC (PBE)

Data for crystalline Nd4GaC at its relaxed geometry.

Cell lengths 6.3657, 7.4900, 8.4591 Å; angles 109.65, 104.53, 106.44 degrees
Closest atoms and distances in Å follow each position.
Fractional coordinates of all 12 atoms:
Nd  0.4202  0.7244  0.9060  2 C 2.51-2.74
Nd  0.9858  0.1816  0.9060  2 C 2.51-2.74
Nd  0.5798  0.2756  0.0940  2 C 2.51-2.74
Nd  0.8023  0.6590  0.5998  1 C 2.49
Nd  0.7024  0.0591  0.4002  1 C 2.49
Nd  0.0142  0.8184  0.0940  2 C 2.51-2.74
Nd  0.2976  0.9409  0.5998  1 C 2.49
Nd  0.1977  0.3410  0.4002  1 C 2.49
C  0.1774  0.9274  0.8548  6 Nd 2.49-2.74
C  0.8226  0.0726  0.1452  6 Nd 2.49-2.74
Ga  0.3668  0.6168  0.2335  6 Nd 2.98-3.24
Ga  0.6332  0.3832  0.7665  6 Nd 2.98-3.24

Calculated total energy, eV/atom: -5.3758
Calculated volume, Å³ per atom: 28.04
Fermi-level density of states, states/eV per cell: 11.794


(13)
## Nd3GaC (PBE)

Data for crystalline Nd3GaC at its relaxed geometry.

Cell lengths 3.8048, 8.6878, 15.1088 Å; angles 90.00, 90.00, 90.00 degrees
Closest atoms and distances in Å follow each position.
Fractional coordinates of all 20 atoms:
Nd  0.7500  0.7087  0.2041  1 C 2.51
Nd  0.7500  0.3338  0.9997  2 C 2.59
Nd  0.7500  0.2087  0.2959  1 C 2.51
Nd  0.2500  0.5294  0.4004  3 C 2.58-2.61
Nd  0.2500  0.0294  0.0996  3 C 2.58-2.61
Nd  0.7500  0.4706  0.5996  3 C 2.58-2.61
Nd  0.7500  0.9706  0.9004  3 C 2.58-2.61
Nd  0.7500  0.8338  0.5003  2 C 2.59
Nd  0.2500  0.1662  0.4997  2 C 2.59
Nd  0.2500  0.6662  0.0003  2 C 2.59
Nd  0.2500  0.7913  0.7041  1 C 2.51
Nd  0.2500  0.2913  0.7959  1 C 2.51
C  0.7500  0.8432  0.0572  6 Nd 2.51-2.61
C  0.2500  0.1568  0.9428  6 Nd 2.51-2.61
C  0.7500  0.3432  0.4428  6 Nd 2.51-2.61
C  0.2500  0.6568  0.5572  6 Nd 2.51-2.61
Ga  0.2500  0.9128  0.3293  8 Nd 3.22-3.50
Ga  0.2500  0.4128  0.1707  8 Nd 3.22-3.50
Ga  0.7500  0.5872  0.8293  8 Nd 3.22-3.50
Ga  0.7500  0.0872  0.6707  8 Nd 3.22-3.50

Calculated volume, Å³ per atom: 24.97
Fermi-level density of states, states/eV per cell: 14.773
Energy above the lowest structure with this stoichiometry, meV per atom: 0


(14)
## Nd3Ga2Ru3C (PBE)

Data for crystalline Nd3Ga2Ru3C at its relaxed geometry.

Cell lengths 3.5337, 7.4751, 7.4751 Å; angles 120.00, 90.00, 90.00 degrees
Closest atoms and distances in Å follow each position.
Fractional coordinates of all 9 atoms:
Ga  0.5000  0.3333  0.6667  6 Nd 2.97, 3 Ru 3.04
Ga  0.5000  0.6667  0.3333  6 Nd 2.97, 3 Ru 3.04
Nd  0.0000  0.0000  0.3639  1 C 2.72, 4 Ru 2.95, 4 Ga 2.97
Nd  0.0000  0.6361  0.6361  1 C 2.72, 4 Ru 2.95, 4 Ga 2.97
Nd  0.0000  0.3639  0.0000  1 C 2.72, 4 Ru 2.95, 4 Ga 2.97
C  0.0000  0.0000  0.0000  6 Ru 2.38
Ru  0.5000  0.0000  0.7868  2 C 2.38
Ru  0.5000  0.2132  0.2132  2 C 2.38
Ru  0.5000  0.7868  0.0000  2 C 2.38

Calculated total energy, eV/atom: -6.4613
Calculated volume, Å³ per atom: 19.00
Fermi-level density of states, states/eV per cell: 5.565


(15)
## Nd2GaRuC (PBE)

Data for crystalline Nd2GaRuC at its relaxed geometry.

Cell lengths 4.2044, 6.4930, 8.6513 Å; angles 110.30, 90.00, 90.00 degrees
Closest atoms and distances in Å follow each position.
Fractional coordinates of all 10 atoms:
Nd  0.2500  0.2203  0.3800  2 C 2.74, 1 Ru 3.03
Nd  0.7500  0.7780  0.0286  3 C 2.52-2.77
Nd  0.7500  0.7797  0.6200  2 C 2.74, 1 Ru 3.03
Nd  0.2500  0.2220  0.9714  3 C 2.52-2.77
Ga  0.2500  0.7034  0.3024  2 Ru 2.45
Ga  0.7500  0.2966  0.6976  2 Ru 2.45
C  0.7500  0.1886  0.1705  1 Ru 1.88
C  0.2500  0.8114  0.8295  1 Ru 1.88
Ru  0.7500  0.4977  0.2578  1 C 1.88
Ru  0.2500  0.5023  0.7422  1 C 1.88

Calculated total energy, eV/atom: -6.4938
Calculated volume, Å³ per atom: 22.15
Fermi-level density of states, states/eV per cell: 7.996


(16)
## NdGa2Ru2C (PBE)

Data for crystalline NdGa2Ru2C at its relaxed geometry.

Cell lengths 4.1227, 4.1227, 5.6503 Å; angles 90.00, 90.00, 90.00 degrees
Closest atoms and distances in Å follow each position.
Fractional coordinates of all 6 atoms:
Ru  0.5000  0.0000  0.0000  2 C 2.06
Ru  0.0000  0.5000  0.0000  2 C 2.06
Ga  0.5000  0.5000  0.2792  1 Ga 2.50, 4 Ru 2.60
Ga  0.5000  0.5000  0.7208  1 Ga 2.50, 4 Ru 2.60
C  0.0000  0.0000  0.0000  4 Ru 2.06
Nd  0.0000  0.0000  0.5000  2 C 2.83

Calculated total energy, eV/atom: -6.8453
Calculated volume, Å³ per atom: 16.01
Fermi-level density of states, states/eV per cell: 2.455


(17)
## NdGaTc2C (PBE)

Data for crystalline NdGaTc2C at its relaxed geometry.

Cell lengths 4.0048, 5.7908, 7.7089 Å; angles 90.00, 90.00, 110.23 degrees
Closest atoms and distances in Å follow each position.
Fractional coordinates of all 10 atoms:
Tc  0.8256  0.6511  0.0562  1 C 1.94
Tc  0.1744  0.3489  0.5562  1 C 1.94
Tc  0.8256  0.6511  0.4438  1 C 1.94
Tc  0.1744  0.3489  0.9438  1 C 1.94
Nd  0.4603  0.9206  0.7500  4 C 2.81, 1 Ga 3.00
Nd  0.5397  0.0794  0.2500  4 C 2.81, 1 Ga 3.00
C  0.0000  0.0000  0.5000  2 Tc 1.94
C  0.0000  0.0000  0.0000  2 Tc 1.94
Ga  0.7363  0.4726  0.7500  6 Tc 2.55-2.59
Ga  0.2637  0.5274  0.2500  6 Tc 2.55-2.59

Calculated total energy, eV/atom: -7.8448
Calculated volume, Å³ per atom: 16.77
Fermi-level density of states, states/eV per cell: 5.789


(18)
## Nd2Ga2Tc2C (PBE)

Data for crystalline Nd2Ga2Tc2C at its relaxed geometry.

Cell lengths 3.8496, 5.9193, 7.5001 Å; angles 57.38, 89.99, 71.01 degrees
Closest atoms and distances in Å follow each position.
Fractional coordinates of all 7 atoms:
Nd  0.4282  0.1446  0.7074  2 C 2.67-2.68
Nd  0.5718  0.8554  0.2926  2 C 2.67-2.68
C  0.0000  0.0000  0.0000  2 Tc 1.97
Ga  0.1376  0.7240  0.6701  3 Tc 2.62-2.64, 1 Ga 2.66
Ga  0.8624  0.2760  0.3299  3 Tc 2.62-2.64, 1 Ga 2.66
Tc  0.1980  0.6048  0.0655  1 C 1.97
Tc  0.8020  0.3952  0.9345  1 C 1.97

Calculated total energy, eV/atom: -6.9514
Calculated volume, Å³ per atom: 18.97
Fermi-level density of states, states/eV per cell: 2.763


(19)
## GaNiC2 (PBE)

Data for crystalline GaNiC2 at its relaxed geometry.

Cell lengths 4.5217, 4.5217, 5.5153 Å; angles 65.80, 65.80, 90.00 degrees
Closest atoms and distances in Å follow each position.
Fractional coordinates of all 8 atoms:
C  0.3750  0.4087  0.7500  2 Ni 1.87, 2 Ga 2.05
C  0.5913  0.1250  0.2500  2 Ni 1.87, 2 Ga 2.05
C  0.8750  0.8413  0.7500  2 Ni 1.87, 2 Ga 2.05
C  0.1587  0.6250  0.2500  2 Ni 1.87, 2 Ga 2.05
Ni  0.2500  0.7500  0.5000  4 C 1.87
Ni  0.5000  0.5000  0.0000  4 C 1.87
Ga  0.7500  0.2500  0.5000  4 C 2.05
Ga  0.0000  0.0000  0.0000  4 C 2.05

Calculated total energy, eV/atom: -5.8068
Calculated volume, Å³ per atom: 11.49
Fermi-level density of states, states/eV per cell: 3.618


(20)
## Pa2GaNiC (PBE)

Data for crystalline Pa2GaNiC at its relaxed geometry.

Cell lengths 4.0639, 6.3484, 6.8729 Å; angles 98.73, 90.00, 90.00 degrees
Closest atoms and distances in Å follow each position.
Fractional coordinates of all 10 atoms:
Ga  0.2500  0.6371  0.3330  2 Ni 2.43
Ga  0.7500  0.3629  0.6670  2 Ni 2.43
C  0.7500  0.1262  0.1600  1 Ni 1.94
C  0.2500  0.8738  0.8400  1 Ni 1.94
Pa  0.7500  0.8458  0.6140  2 C 2.55
Pa  0.2500  0.2320  0.9670  3 C 2.31-2.57
Pa  0.2500  0.1542  0.3860  2 C 2.55
Pa  0.7500  0.7680  0.0330  3 C 2.31-2.57
Ni  0.7500  0.4265  0.2704  1 C 1.94
Ni  0.2500  0.5735  0.7296  1 C 1.94

Calculated total energy, eV/atom: -7.7350
Calculated volume, Å³ per atom: 17.53
Fermi-level density of states, states/eV per cell: 11.708